Record 1
Below is an optimized crystal structure of Cr3Br, with properties calculated at the PBE level.

Cell and atoms, written as CIF:
```
data_Cr3Br
_chemical_formula_sum 'Cr3 Br1'
_cell_length_a 4.265
_cell_length_b 4.265
_cell_length_c 4.265
_cell_angle_alpha 60.00
_cell_angle_beta 60.00
_cell_angle_gamma 60.00
_symmetry_space_group_name_H-M 'P 1'
_symmetry_Int_Tables_number 1
loop_
_symmetry_equiv_pos_as_xyz
'x,y,z'
loop_
_atom_site_label
_atom_site_type_symbol
_atom_site_fract_x
_atom_site_fract_y
_atom_site_fract_z
Cr1 Cr 0.750 0.750 0.750
Cr2 Cr 0.500 0.500 0.500
Cr3 Cr 0.250 0.250 0.250
Br1 Br 0.000 0.000 0.000
```

Summary:
E above lowest polymorph (meV per atom): 553

=====

Record 2
Below is an optimized crystal structure of Ho2Zn3Cu12Ag, with properties calculated at the PBE level.

Cell and atoms, written as CIF:
```
data_Ho2Zn3Cu12Ag
_chemical_formula_sum 'Ho2 Zn3 Cu12 Ag1'
_cell_length_a 9.467
_cell_length_b 9.467
_cell_length_c 9.467
_cell_angle_alpha 38.99
_cell_angle_beta 38.99
_cell_angle_gamma 38.99
_symmetry_space_group_name_H-M 'P 1'
_symmetry_Int_Tables_number 1
loop_
_symmetry_equiv_pos_as_xyz
'x,y,z'
loop_
_atom_site_label
_atom_site_type_symbol
_atom_site_fract_x
_atom_site_fract_y
_atom_site_fract_z
Cu1 Cu 0.873 0.452 0.873
Cu2 Cu 0.548 0.127 0.127
Cu3 Cu 0.203 0.582 0.582
Cu4 Cu 0.127 0.548 0.127
Cu5 Cu 0.452 0.873 0.873
Cu6 Cu 0.582 0.203 0.582
Cu7 Cu 0.797 0.418 0.418
Cu8 Cu 0.418 0.418 0.797
Cu9 Cu 0.582 0.582 0.203
Cu10 Cu 0.873 0.873 0.452
Cu11 Cu 0.418 0.797 0.418
Cu12 Cu 0.127 0.127 0.548
Zn1 Zn 0.000 0.500 0.000
Zn2 Zn 0.000 0.000 0.500
Zn3 Zn 0.500 0.000 0.000
Ho1 Ho 0.640 0.640 0.640
Ho2 Ho 0.360 0.360 0.360
Ag1 Ag 0.000 0.000 0.000
```

Summary:
Uncorrected energy (eV per atom): -3.49

=====

Record 3
Below is an optimized crystal structure of PrEuErLu, with properties calculated at the PBE level.

Cell and atoms, written as CIF:
```
data_PrEuErLu
_chemical_formula_sum 'Pr1 Eu1 Er1 Lu1'
_cell_length_a 5.762
_cell_length_b 5.762
_cell_length_c 5.762
_cell_angle_alpha 60.00
_cell_angle_beta 60.00
_cell_angle_gamma 60.00
_symmetry_space_group_name_H-M 'P 1'
_symmetry_Int_Tables_number 1
loop_
_symmetry_equiv_pos_as_xyz
'x,y,z'
loop_
_atom_site_label
_atom_site_type_symbol
_atom_site_fract_x
_atom_site_fract_y
_atom_site_fract_z
Lu1 Lu 0.500 0.500 0.500
Pr1 Pr 0.250 0.250 0.250
Eu1 Eu 0.000 0.000 0.000
Er1 Er 0.750 0.750 0.750
```

Summary:
Uncorrected energy (eV per atom): -5.89

=====

Calculated volume? In order: 13.72 16.78 33.81 A^3/atom.